[1]
First-principles (meta-GGA SCAN) data for a crystal of SrLi2Ni relaxed with PBEsol, as listed in Alexandria.

Structure (POSCAR):
```
SrLi2Ni
1.0
-0.835 -4.108 -1.009
2.383 -3.165 1.701
-2.833 -2.748 4.321
Li Ni Sr
2 1 1
Direct
0.198 0.198 0.405
0.802 0.802 0.595
0.500 0.500 0.500
0.000 0.000 0.000
```

E: -42.469 eV for the cell shown
polymorph energy (0 for the lowest one): 0.066 eV per atom

[2]
First-principles (meta-GGA SCAN) data for a crystal of SrLi2Ni relaxed with PBEsol, as listed in Alexandria.

Structure (POSCAR):
```
SrLi2Ni
1.0
4.341 0.000 0.000
-2.171 3.763 -0.021
0.000 -2.478 5.276
Li Ni Sr
2 1 1
Direct
0.050 0.101 0.151
0.762 0.523 0.284
0.446 0.892 0.337
0.242 0.484 0.727
```

E: -42.735 eV for the cell shown
polymorph energy (0 for the lowest one): 0.000 eV per atom

[3]
First-principles (meta-GGA SCAN) data for a crystal of SrLi2Ni relaxed with PBEsol, as listed in Alexandria.

Structure (POSCAR):
```
SrLi2Ni
1.0
4.132 0.000 0.000
0.000 4.132 0.000
-2.066 -2.066 10.084
Sr Li Ni
2 4 2
Direct
0.250 0.750 0.500
0.000 0.000 0.000
0.451 0.875 0.250
0.799 0.375 0.250
0.125 0.201 0.750
0.625 0.549 0.750
0.750 0.250 0.500
0.500 0.500 0.000
```

E: -84.130 eV for the cell shown
polymorph energy (0 for the lowest one): 0.167 eV per atom

[4]
First-principles (meta-GGA SCAN) data for a crystal of SrLiNi3 relaxed with PBEsol, as listed in Alexandria.

Structure (POSCAR):
```
SrLiNi3
1.0
4.229 0.000 0.000
0.000 4.229 0.000
0.000 0.000 4.229
Sr Li Ni
1 1 3
Direct
0.500 0.500 0.500
0.000 0.000 0.000
0.000 0.500 0.000
0.000 0.000 0.500
0.500 0.000 0.000
```

E: -70.357 eV for the cell shown

[5]
First-principles (meta-GGA SCAN) data for a crystal of Li2TaNi relaxed with PBEsol, as listed in Alexandria.

Structure (POSCAR):
```
Li2TaNi
1.0
2.688 0.000 0.000
1.344 2.328 0.000
1.344 0.776 9.202
Li Ni Ta
2 1 1
Direct
0.239 0.239 0.283
0.761 0.761 0.717
0.500 0.500 0.500
0.000 0.000 0.000
```

E: -86.400 eV for the cell shown
polymorph energy (0 for the lowest one): 0.111 eV per atom

[6]
First-principles (meta-GGA SCAN) data for a crystal of LiTa2Ni relaxed with PBEsol, as listed in Alexandria.

Structure (POSCAR):
```
LiTa2Ni
1.0
-0.278 -0.992 -3.734
2.938 -2.486 0.442
-3.792 -1.008 2.559
Li Ni Ta
1 1 2
Direct
0.500 0.500 0.000
0.000 0.000 0.000
0.750 0.250 0.500
0.250 0.750 0.500
```

E: -150.760 eV for the cell shown
polymorph energy (0 for the lowest one): 0.000 eV per atom

Volume values, unit Å³ per atom, following the record order: 21.316 21.491 21.521 15.124 14.394 14.254.
Formation enthalpy at 0 K values, unit eV/f.u., following the record order: 0.8 0.5 1.2 2.8 1.1 1.0.